LiFeSiO4 | PBE with a Hubbard U | optimized geometry

Properties
Total energy   -6.87 eV/atom

Structure (CIF):
```
data_LiFeSiO4
_chemical_formula_sum 'Li4 Fe4 Si4 O16'
_cell_length_a 7.274
_cell_length_b 7.274
_cell_length_c 7.274
_cell_angle_alpha 90.00
_cell_angle_beta 90.00
_cell_angle_gamma 90.00
_symmetry_space_group_name_H-M 'P 1'
_symmetry_Int_Tables_number 1
_symmetry_space_group_name_Hall 'P 1'
loop_
_atom_site_label
_atom_site_type_symbol
_atom_site_fract_x
_atom_site_fract_y
_atom_site_fract_z
Li1 Li 0.249 0.249 0.249
Li2 Li 0.251 0.751 0.749
Li3 Li 0.749 0.251 0.751
Li4 Li 0.751 0.749 0.251
Fe1 Fe 0.194 0.306 0.694
Fe2 Fe 0.306 0.694 0.194
Fe3 Fe 0.694 0.194 0.306
Fe4 Fe 0.806 0.806 0.806
Si1 Si 0.032 0.968 0.468
Si2 Si 0.468 0.032 0.968
Si3 Si 0.532 0.532 0.532
Si4 Si 0.968 0.468 0.032
O1 O 0.023 0.880 0.678
O2 O 0.120 0.178 0.477
O3 O 0.160 0.840 0.340
O4 O 0.178 0.477 0.120
O5 O 0.322 0.523 0.620
O6 O 0.340 0.160 0.840
O7 O 0.380 0.822 0.977
O8 O 0.477 0.120 0.178
O9 O 0.523 0.620 0.322
O10 O 0.620 0.322 0.523
O11 O 0.660 0.660 0.660
O12 O 0.678 0.023 0.880
O13 O 0.822 0.977 0.380
O14 O 0.840 0.340 0.160
O15 O 0.880 0.678 0.023
O16 O 0.977 0.380 0.822
```



LiFeSiO4 | PBE with a Hubbard U | optimized geometry

Properties
Total energy   -6.87 eV/atom

Structure (CIF):
```
data_LiFeSiO4
_chemical_formula_sum 'Li2 Fe2 Si2 O8'
_cell_length_a 5.211
_cell_length_b 5.211
_cell_length_c 9.401
_cell_angle_alpha 90.00
_cell_angle_beta 90.00
_cell_angle_gamma 120.00
_symmetry_space_group_name_H-M 'P 1'
_symmetry_Int_Tables_number 1
_symmetry_space_group_name_Hall 'P 1'
loop_
_atom_site_label
_atom_site_type_symbol
_atom_site_fract_x
_atom_site_fract_y
_atom_site_fract_z
Li1 Li 0.000 0.000 0.000
Li2 Li 0.000 0.000 0.500
Fe1 Fe 0.333 0.667 0.405
Fe2 Fe 0.667 0.333 0.905
Si1 Si 0.333 0.667 0.037
Si2 Si 0.667 0.333 0.537
O1 O 0.028 0.375 0.978
O2 O 0.333 0.667 0.209
O3 O 0.347 0.972 0.978
O4 O 0.375 0.347 0.478
O5 O 0.625 0.653 0.978
O6 O 0.653 0.028 0.478
O7 O 0.667 0.333 0.709
O8 O 0.972 0.625 0.478
```



Li2FeSi4O10 | PBE with a Hubbard U | optimized geometry

Properties
Total energy   -7.25 eV/atom

Structure (CIF):
```
data_Li2FeSi4O10
_chemical_formula_sum 'Li4 Fe2 Si8 O20'
_cell_length_a 6.882
_cell_length_b 7.714
_cell_length_c 9.614
_cell_angle_alpha 68.88
_cell_angle_beta 79.11
_cell_angle_gamma 64.09
_symmetry_space_group_name_H-M 'P 1'
_symmetry_Int_Tables_number 1
_symmetry_space_group_name_Hall 'P 1'
loop_
_atom_site_label
_atom_site_type_symbol
_atom_site_fract_x
_atom_site_fract_y
_atom_site_fract_z
Li1 Li 0.112 0.204 0.399
Li2 Li 0.332 0.306 0.961
Li3 Li 0.668 0.694 0.039
Li4 Li 0.888 0.796 0.601
Fe1 Fe 0.418 0.801 0.576
Fe2 Fe 0.582 0.199 0.424
Si1 Si 0.093 0.771 0.856
Si2 Si 0.218 0.568 0.183
Si3 Si 0.227 0.131 0.739
Si4 Si 0.329 0.900 0.222
Si5 Si 0.671 0.100 0.778
Si6 Si 0.773 0.869 0.261
Si7 Si 0.782 0.432 0.817
Si8 Si 0.907 0.229 0.144
O1 O 0.023 0.346 0.739
O2 O 0.165 0.947 0.856
O3 O 0.167 0.702 0.710
O4 O 0.177 0.132 0.114
O5 O 0.191 0.575 0.010
O6 O 0.256 0.886 0.392
O7 O 0.300 0.110 0.575
O8 O 0.337 0.721 0.162
O9 O 0.349 0.337 0.276
O10 O 0.419 0.126 0.824
O11 O 0.581 0.874 0.176
O12 O 0.651 0.663 0.724
O13 O 0.663 0.279 0.838
O14 O 0.700 0.890 0.425
O15 O 0.744 0.114 0.608
O16 O 0.809 0.425 0.990
O17 O 0.823 0.868 0.886
O18 O 0.833 0.298 0.290
O19 O 0.835 0.053 0.144
O20 O 0.977 0.654 0.261
```



LiFeSiO4 | PBE with a Hubbard U | optimized geometry

Properties
Total energy   -6.85 eV/atom

Structure (CIF):
```
data_LiFeSiO4
_chemical_formula_sum 'Li4 Fe4 Si4 O16'
_cell_length_a 6.697
_cell_length_b 5.047
_cell_length_c 12.032
_cell_angle_alpha 90.00
_cell_angle_beta 123.06
_cell_angle_gamma 90.00
_symmetry_space_group_name_H-M 'P 1'
_symmetry_Int_Tables_number 1
_symmetry_space_group_name_Hall 'P 1'
loop_
_atom_site_label
_atom_site_type_symbol
_atom_site_fract_x
_atom_site_fract_y
_atom_site_fract_z
Li1 Li 0.160 0.164 0.148
Li2 Li 0.160 0.336 0.648
Li3 Li 0.840 0.664 0.352
Li4 Li 0.840 0.836 0.852
Fe1 Fe 0.335 0.665 0.332
Fe2 Fe 0.335 0.835 0.832
Fe3 Fe 0.665 0.165 0.168
Fe4 Fe 0.665 0.335 0.668
Si1 Si 0.334 0.662 0.077
Si2 Si 0.334 0.838 0.577
Si3 Si 0.666 0.162 0.423
Si4 Si 0.666 0.338 0.923
O1 O 0.178 0.748 0.420
O2 O 0.178 0.752 0.920
O3 O 0.196 0.736 0.649
O4 O 0.196 0.764 0.149
O5 O 0.365 0.162 0.591
O6 O 0.365 0.338 0.091
O7 O 0.396 0.205 0.844
O8 O 0.396 0.295 0.344
O9 O 0.604 0.705 0.656
O10 O 0.604 0.795 0.156
O11 O 0.635 0.662 0.909
O12 O 0.635 0.838 0.409
O13 O 0.804 0.236 0.851
O14 O 0.804 0.264 0.351
O15 O 0.822 0.248 0.080
O16 O 0.822 0.252 0.580
```



LiFeSiO4 | PBE with a Hubbard U | optimized geometry

Properties
Total energy   -6.87 eV/atom

Structure (CIF):
```
data_LiFeSiO4
_chemical_formula_sum 'Li2 Fe2 Si2 O8'
_cell_length_a 4.959
_cell_length_b 4.959
_cell_length_c 6.236
_cell_angle_alpha 90.00
_cell_angle_beta 90.00
_cell_angle_gamma 112.90
_symmetry_space_group_name_H-M 'P 1'
_symmetry_Int_Tables_number 1
_symmetry_space_group_name_Hall 'P 1'
loop_
_atom_site_label
_atom_site_type_symbol
_atom_site_fract_x
_atom_site_fract_y
_atom_site_fract_z
Li1 Li 0.170 0.830 0.750
Li2 Li 0.830 0.170 0.250
Fe1 Fe 0.500 0.500 0.000
Fe2 Fe 0.500 0.500 0.500
Si1 Si 0.153 0.847 0.250
Si2 Si 0.847 0.153 0.750
O1 O 0.214 0.267 0.750
O2 O 0.265 0.735 0.036
O3 O 0.265 0.735 0.464
O4 O 0.267 0.214 0.250
O5 O 0.733 0.786 0.750
O6 O 0.735 0.265 0.536
O7 O 0.735 0.265 0.964
O8 O 0.786 0.733 0.250
```



LiFeSiO4 | PBE with a Hubbard U | optimized geometry

Properties
Total energy   -6.85 eV/atom

Structure (CIF):
```
data_LiFeSiO4
_chemical_formula_sum 'Li4 Fe4 Si4 O16'
_cell_length_a 5.732
_cell_length_b 5.732
_cell_length_c 8.068
_cell_angle_alpha 90.00
_cell_angle_beta 90.00
_cell_angle_gamma 90.00
_symmetry_space_group_name_H-M 'P 1'
_symmetry_Int_Tables_number 1
_symmetry_space_group_name_Hall 'P 1'
loop_
_atom_site_label
_atom_site_type_symbol
_atom_site_fract_x
_atom_site_fract_y
_atom_site_fract_z
Li1 Li 0.000 0.218 0.000
Li2 Li 0.000 0.782 0.500
Li3 Li 0.218 0.000 0.250
Li4 Li 0.782 0.000 0.750
Fe1 Fe 0.225 0.500 0.250
Fe2 Fe 0.500 0.225 0.000
Fe3 Fe 0.500 0.775 0.500
Fe4 Fe 0.775 0.500 0.750
Si1 Si 0.257 0.257 0.625
Si2 Si 0.257 0.743 0.875
Si3 Si 0.743 0.257 0.375
Si4 Si 0.743 0.743 0.125
O1 O 0.018 0.259 0.740
O2 O 0.018 0.741 0.760
O3 O 0.259 0.018 0.510
O4 O 0.259 0.496 0.502
O5 O 0.259 0.504 0.998
O6 O 0.259 0.982 0.990
O7 O 0.496 0.259 0.748
O8 O 0.496 0.741 0.752
O9 O 0.504 0.259 0.252
O10 O 0.504 0.741 0.248
O11 O 0.741 0.018 0.490
O12 O 0.741 0.496 0.498
O13 O 0.741 0.504 0.002
O14 O 0.741 0.982 0.010
O15 O 0.982 0.259 0.260
O16 O 0.982 0.741 0.240
```



LiSm2FeO5 | PBE with a Hubbard U | optimized geometry

Properties
Total energy   -7.25 eV/atom

Structure (CIF):
```
data_LiSm2FeO5
_chemical_formula_sum 'Li2 Sm4 Fe2 O10'
_cell_length_a 7.019
_cell_length_b 7.019
_cell_length_c 9.242
_cell_angle_alpha 90.00
_cell_angle_beta 90.00
_cell_angle_gamma 152.04
_symmetry_space_group_name_H-M 'P 1'
_symmetry_Int_Tables_number 1
_symmetry_space_group_name_Hall 'P 1'
loop_
_atom_site_label
_atom_site_type_symbol
_atom_site_fract_x
_atom_site_fract_y
_atom_site_fract_z
Li1 Li 0.225 0.775 0.500
Li2 Li 0.775 0.225 0.000
Sm1 Sm 0.122 0.878 0.802
Sm2 Sm 0.127 0.873 0.181
Sm3 Sm 0.873 0.127 0.681
Sm4 Sm 0.878 0.122 0.302
Fe1 Fe 0.421 0.579 0.982
Fe2 Fe 0.579 0.421 0.482
O1 O 0.035 0.965 0.553
O2 O 0.304 0.696 0.851
O3 O 0.311 0.689 0.147
O4 O 0.359 0.641 0.501
O5 O 0.490 0.510 0.790
O6 O 0.510 0.490 0.290
O7 O 0.641 0.359 0.001
O8 O 0.689 0.311 0.647
O9 O 0.696 0.304 0.351
O10 O 0.965 0.035 0.053
```



LiSmFe4O12 | PBE with a Hubbard U | optimized geometry

Properties
Total energy   -5.97 eV/atom

Structure (CIF):
```
data_LiSmFe4O12
_chemical_formula_sum 'Li1 Sm1 Fe4 O12'
_cell_length_a 5.350
_cell_length_b 5.350
_cell_length_c 7.630
_cell_angle_alpha 90.00
_cell_angle_beta 90.00
_cell_angle_gamma 90.00
_symmetry_space_group_name_H-M 'P 1'
_symmetry_Int_Tables_number 1
_symmetry_space_group_name_Hall 'P 1'
loop_
_atom_site_label
_atom_site_type_symbol
_atom_site_fract_x
_atom_site_fract_y
_atom_site_fract_z
Li1 Li 0.000 0.000 0.000
Sm1 Sm 0.500 0.500 0.500
Fe1 Fe 0.000 0.500 0.245
Fe2 Fe 0.000 0.500 0.755
Fe3 Fe 0.500 0.000 0.245
Fe4 Fe 0.500 0.000 0.755
O1 O 0.000 0.500 0.000
O2 O 0.000 0.500 0.500
O3 O 0.258 0.258 0.262
O4 O 0.258 0.258 0.738
O5 O 0.258 0.742 0.262
O6 O 0.258 0.742 0.738
O7 O 0.500 0.000 0.000
O8 O 0.500 0.000 0.500
O9 O 0.742 0.258 0.262
O10 O 0.742 0.258 0.738
O11 O 0.742 0.742 0.262
O12 O 0.742 0.742 0.738
```



Li2Fe2SnO6 | PBE with a Hubbard U | optimized geometry

Properties
Total energy   -5.83 eV/atom

Structure (CIF):
```
data_Li2Fe2SnO6
_chemical_formula_sum 'Li4 Fe4 Sn2 O12'
_cell_length_a 5.189
_cell_length_b 5.189
_cell_length_c 10.142
_cell_angle_alpha 90.00
_cell_angle_beta 90.00
_cell_angle_gamma 60.03
_symmetry_space_group_name_H-M 'P 1'
_symmetry_Int_Tables_number 1
_symmetry_space_group_name_Hall 'P 1'
loop_
_atom_site_label
_atom_site_type_symbol
_atom_site_fract_x
_atom_site_fract_y
_atom_site_fract_z
Li1 Li 0.159 0.341 0.250
Li2 Li 0.341 0.159 0.750
Li3 Li 0.659 0.841 0.250
Li4 Li 0.841 0.659 0.750
Fe1 Fe 0.164 0.164 0.000
Fe2 Fe 0.336 0.336 0.500
Fe3 Fe 0.664 0.664 0.500
Fe4 Fe 0.836 0.836 0.000
Sn1 Sn 0.000 0.000 0.500
Sn2 Sn 0.500 0.500 0.000
O1 O 0.009 0.348 0.605
O2 O 0.152 0.491 0.895
O3 O 0.154 0.846 0.099
O4 O 0.346 0.654 0.599
O5 O 0.348 0.009 0.395
O6 O 0.491 0.152 0.105
O7 O 0.509 0.848 0.895
O8 O 0.652 0.991 0.605
O9 O 0.654 0.346 0.401
O10 O 0.846 0.154 0.901
O11 O 0.848 0.509 0.105
O12 O 0.991 0.652 0.395
```



Li3Fe4SnO8 | PBE with a Hubbard U | optimized geometry

Properties
Total energy   -6.12 eV/atom

Structure (CIF):
```
data_Li3Fe4SnO8
_chemical_formula_sum 'Li3 Fe4 Sn1 O8'
_cell_length_a 6.050
_cell_length_b 6.050
_cell_length_c 6.241
_cell_angle_alpha 120.24
_cell_angle_beta 120.24
_cell_angle_gamma 61.34
_symmetry_space_group_name_H-M 'P 1'
_symmetry_Int_Tables_number 1
_symmetry_space_group_name_Hall 'P 1'
loop_
_atom_site_label
_atom_site_type_symbol
_atom_site_fract_x
_atom_site_fract_y
_atom_site_fract_z
Li1 Li 0.000 0.000 0.000
Li2 Li 0.000 0.500 0.500
Li3 Li 0.500 0.000 0.500
Fe1 Fe 0.000 0.000 0.500
Fe2 Fe 0.000 0.500 0.000
Fe3 Fe 0.500 0.000 0.000
Fe4 Fe 0.500 0.500 0.000
Sn1 Sn 0.500 0.500 0.500
O1 O 0.242 0.745 0.724
O2 O 0.247 0.247 0.747
O3 O 0.255 0.255 0.236
O4 O 0.255 0.758 0.276
O5 O 0.745 0.242 0.724
O6 O 0.745 0.745 0.764
O7 O 0.753 0.753 0.253
O8 O 0.758 0.255 0.276
```



LiFeSnO4 | PBE with a Hubbard U | optimized geometry

Properties
Total energy   -6.11 eV/atom

Structure (CIF):
```
data_LiFeSnO4
_chemical_formula_sum 'Li4 Fe4 Sn4 O16'
_cell_length_a 6.121
_cell_length_b 6.121
_cell_length_c 8.603
_cell_angle_alpha 90.00
_cell_angle_beta 90.00
_cell_angle_gamma 90.00
_symmetry_space_group_name_H-M 'P 1'
_symmetry_Int_Tables_number 1
_symmetry_space_group_name_Hall 'P 1'
loop_
_atom_site_label
_atom_site_type_symbol
_atom_site_fract_x
_atom_site_fract_y
_atom_site_fract_z
Li1 Li 0.000 0.232 0.000
Li2 Li 0.000 0.768 0.500
Li3 Li 0.232 0.000 0.250
Li4 Li 0.768 0.000 0.750
Fe1 Fe 0.236 0.500 0.250
Fe2 Fe 0.500 0.236 0.000
Fe3 Fe 0.500 0.764 0.500
Fe4 Fe 0.764 0.500 0.750
Sn1 Sn 0.254 0.254 0.625
Sn2 Sn 0.254 0.746 0.875
Sn3 Sn 0.746 0.254 0.375
Sn4 Sn 0.746 0.746 0.125
O1 O 0.017 0.261 0.251
O2 O 0.017 0.739 0.249
O3 O 0.261 0.017 0.999
O4 O 0.261 0.983 0.501
O5 O 0.262 0.482 0.013
O6 O 0.262 0.518 0.487
O7 O 0.482 0.262 0.237
O8 O 0.482 0.738 0.263
O9 O 0.518 0.262 0.763
O10 O 0.518 0.738 0.737
O11 O 0.738 0.482 0.987
O12 O 0.738 0.518 0.513
O13 O 0.739 0.017 0.001
O14 O 0.739 0.983 0.499
O15 O 0.983 0.261 0.749
O16 O 0.983 0.739 0.751
```



LiFeSnO4 | PBE with a Hubbard U | optimized geometry

Properties
Total energy   -6.17 eV/atom

Structure (CIF):
```
data_LiFeSnO4
_chemical_formula_sum 'Li2 Fe2 Sn2 O8'
_cell_length_a 3.122
_cell_length_b 5.293
_cell_length_c 9.738
_cell_angle_alpha 90.00
_cell_angle_beta 90.00
_cell_angle_gamma 90.00
_symmetry_space_group_name_H-M 'P 1'
_symmetry_Int_Tables_number 1
_symmetry_space_group_name_Hall 'P 1'
loop_
_atom_site_label
_atom_site_type_symbol
_atom_site_fract_x
_atom_site_fract_y
_atom_site_fract_z
Li1 Li 0.000 0.210 0.000
Li2 Li 0.000 0.790 0.500
Fe1 Fe 0.000 0.224 0.387
Fe2 Fe 0.000 0.776 0.887
Sn1 Sn 0.500 0.289 0.675
Sn2 Sn 0.500 0.711 0.175
O1 O 0.000 0.113 0.782
O2 O 0.000 0.451 0.560
O3 O 0.000 0.549 0.060
O4 O 0.000 0.887 0.282
O5 O 0.500 0.040 0.506
O6 O 0.500 0.396 0.301
O7 O 0.500 0.604 0.801
O8 O 0.500 0.960 0.006
```



LiFeSnO4 | PBE with a Hubbard U | optimized geometry

Properties
Total energy   -6.15 eV/atom

Structure (CIF):
```
data_LiFeSnO4
_chemical_formula_sum 'Li4 Fe4 Sn4 O16'
_cell_length_a 6.119
_cell_length_b 6.119
_cell_length_c 8.647
_cell_angle_alpha 90.00
_cell_angle_beta 90.00
_cell_angle_gamma 90.00
_symmetry_space_group_name_H-M 'P 1'
_symmetry_Int_Tables_number 1
_symmetry_space_group_name_Hall 'P 1'
loop_
_atom_site_label
_atom_site_type_symbol
_atom_site_fract_x
_atom_site_fract_y
_atom_site_fract_z
Li1 Li 0.000 0.206 0.000
Li2 Li 0.000 0.794 0.500
Li3 Li 0.206 0.000 0.250
Li4 Li 0.794 0.000 0.750
Fe1 Fe 0.255 0.255 0.625
Fe2 Fe 0.255 0.745 0.875
Fe3 Fe 0.745 0.255 0.375
Fe4 Fe 0.745 0.745 0.125
Sn1 Sn 0.225 0.500 0.250
Sn2 Sn 0.500 0.225 0.000
Sn3 Sn 0.500 0.775 0.500
Sn4 Sn 0.775 0.500 0.750
O1 O 0.001 0.256 0.749
O2 O 0.001 0.744 0.751
O3 O 0.256 0.001 0.501
O4 O 0.256 0.999 0.999
O5 O 0.261 0.483 0.009
O6 O 0.261 0.517 0.491
O7 O 0.483 0.261 0.241
O8 O 0.483 0.739 0.259
O9 O 0.517 0.261 0.759
O10 O 0.517 0.739 0.741
O11 O 0.739 0.483 0.991
O12 O 0.739 0.517 0.509
O13 O 0.744 0.001 0.499
O14 O 0.744 0.999 0.001
O15 O 0.999 0.256 0.251
O16 O 0.999 0.744 0.249
```



Li2FeSnO4 | PBE with a Hubbard U | optimized geometry

Properties
Total energy   -5.89 eV/atom

Structure (CIF):
```
data_Li2FeSnO4
_chemical_formula_sum 'Li2 Fe1 Sn1 O4'
_cell_length_a 5.301
_cell_length_b 3.126
_cell_length_c 5.421
_cell_angle_alpha 90.00
_cell_angle_beta 110.32
_cell_angle_gamma 90.00
_symmetry_space_group_name_H-M 'P 1'
_symmetry_Int_Tables_number 1
_symmetry_space_group_name_Hall 'P 1'
loop_
_atom_site_label
_atom_site_type_symbol
_atom_site_fract_x
_atom_site_fract_y
_atom_site_fract_z
Li1 Li 0.000 0.000 0.000
Li2 Li 0.000 0.500 0.500
Fe1 Fe 0.500 0.000 0.500
Sn1 Sn 0.500 0.500 0.000
O1 O 0.256 0.000 0.766
O2 O 0.276 0.500 0.246
O3 O 0.724 0.500 0.754
O4 O 0.744 0.000 0.234
```



Li2FeSnO4 | PBE with a Hubbard U | optimized geometry

Properties
Total energy   -5.89 eV/atom

Structure (CIF):
```
data_Li2FeSnO4
_chemical_formula_sum 'Li4 Fe2 Sn2 O8'
_cell_length_a 6.163
_cell_length_b 6.163
_cell_length_c 6.157
_cell_angle_alpha 118.70
_cell_angle_beta 118.70
_cell_angle_gamma 91.68
_symmetry_space_group_name_H-M 'P 1'
_symmetry_Int_Tables_number 1
_symmetry_space_group_name_Hall 'P 1'
loop_
_atom_site_label
_atom_site_type_symbol
_atom_site_fract_x
_atom_site_fract_y
_atom_site_fract_z
Li1 Li 0.000 0.000 0.000
Li2 Li 0.000 0.000 0.500
Li3 Li 0.000 0.500 0.000
Li4 Li 0.500 0.000 0.500
Fe1 Fe 0.500 0.500 0.000
Fe2 Fe 0.500 0.500 0.500
Sn1 Sn 0.000 0.500 0.500
Sn2 Sn 0.500 0.000 0.000
O1 O 0.238 0.743 0.979
O2 O 0.242 0.274 0.504
O3 O 0.257 0.762 0.521
O4 O 0.274 0.242 0.004
O5 O 0.726 0.758 0.996
O6 O 0.743 0.238 0.479
O7 O 0.758 0.726 0.496
O8 O 0.762 0.257 0.021
```